Record 1
LaHf3Pt: optimized geometry, PBE.

The structure in POSCAR format:
```
LaHf3Pt
1.0
5.0221 0.0000 0.0000
0.0000 5.0221 0.0000
0.0000 0.0000 5.0221
Hf Pt La
3 1 1
direct
0.0000 0.5000 0.0000 Hf
0.0000 0.0000 0.5000 Hf
0.5000 0.0000 0.0000 Hf
0.5000 0.5000 0.5000 Pt
0.0000 0.0000 0.0000 La
```

symmetry	Pm-3m
distance to the lowest polymorph of the same formula	1587.9	meV/atom
crystal system	cubic
formation enthalpy at 0 K	8.087	eV per formula unit

***

Record 2
LaHfPt2: optimized geometry, PBE.

The structure in POSCAR format:
```
LaHfPt2
1.0
-0.0531 -3.2076 -0.9437
1.8439 0.7592 -2.6844
6.3264 -1.2770 3.9843
Hf Pt La
1 2 1
direct
0.5000 0.5000 0.0000 Hf
0.0000 0.0000 0.8002 Pt
0.0000 0.0000 0.1998 Pt
0.5000 0.5000 0.5000 La
```

symmetry	P4/mmm
distance to the lowest polymorph of the same formula	0.0	meV/atom
crystal system	tetragonal
formation enthalpy at 0 K	-4.247	eV per formula unit

***

Record 3
LaHf2Pt2: optimized geometry, PBE.

The structure in POSCAR format:
```
LaHf2Pt2
1.0
-3.1658 -0.5025 3.6974
3.5006 -2.0788 2.7147
1.5281 3.3449 5.0012
Hf Pt La
2 2 1
direct
0.3509 0.3509 0.2981 Hf
0.6491 0.6491 0.7019 Hf
0.7500 0.2500 0.5000 Pt
0.2500 0.7500 0.5000 Pt
0.0000 0.0000 0.0000 La
```

symmetry	I4/mmm
distance to the lowest polymorph of the same formula	121.2	meV/atom
crystal system	tetragonal
formation enthalpy at 0 K	-3.129	eV per formula unit

***

Record 4
LaHf2Pt2: optimized geometry, PBE.

The structure in POSCAR format:
```
LaHf2Pt2
1.0
7.9886 0.0000 0.0000
0.0000 7.9886 0.0000
0.0000 0.0000 3.3837
Hf Pt La
4 4 2
direct
0.1566 0.6566 0.5000 Hf
0.6566 0.8434 0.5000 Hf
0.8434 0.3434 0.5000 Hf
0.3434 0.1566 0.5000 Hf
0.3734 0.8734 0.0000 Pt
0.8734 0.6266 0.0000 Pt
0.6266 0.1266 0.0000 Pt
0.1266 0.3734 0.0000 Pt
0.0000 0.0000 0.0000 La
0.5000 0.5000 0.0000 La
```

symmetry	P4/mbm
distance to the lowest polymorph of the same formula	0.0	meV/atom
crystal system	tetragonal
formation enthalpy at 0 K	-3.735	eV per formula unit

***

- Number 3 is which compound?
  LaHf2Pt2